# 1
# Rb2CdSbSe4 PBE optimized geometry
# Energy   -3.255 eV per atom
# Formation energy from raw total energies   -0.64 eV per atom
data_Rb2CdSbSe4
_symmetry_space_group_name_H-M 'P 1'
_symmetry_Int_Tables_number 1
_cell_length_a 6.688
_cell_length_b 8.124
_cell_length_c 12.741
_cell_angle_alpha 83.80
_cell_angle_beta 74.78
_cell_angle_gamma 65.69
loop_
_symmetry_equiv_pos_as_xyz
'x,y,z'
loop_
_atom_site_label
_atom_site_fract_x
_atom_site_fract_y
_atom_site_fract_z
Rb1 0.182 0.000 0.637
Rb2 0.818 0.000 0.363
Rb3 0.568 0.500 0.863
Rb4 0.932 0.500 0.137
Cd1 0.750 0.500 0.500
Cd2 0.000 0.000 0.000
Sb1 0.250 0.500 0.500
Sb2 0.500 0.000 0.000
Se1 0.306 0.788 0.112
Se2 0.205 0.212 0.888
Se3 0.907 0.788 0.888
Se4 0.582 0.212 0.112
Se5 0.444 0.712 0.388
Se6 0.545 0.288 0.612
Se7 0.843 0.712 0.612
Se8 0.168 0.288 0.388

***

# 2
# Sm8Ge3Te4Pb PBE optimized geometry
# Energy   -5.393 eV per atom
# Formation energy from raw total energies   -1.15 eV per atom
data_Sm8Ge3Te4Pb
_symmetry_space_group_name_H-M 'P 1'
_symmetry_Int_Tables_number 1
_cell_length_a 8.756
_cell_length_b 8.847
_cell_length_c 8.757
_cell_angle_alpha 119.67
_cell_angle_beta 120.00
_cell_angle_gamma 90.00
loop_
_symmetry_equiv_pos_as_xyz
'x,y,z'
loop_
_atom_site_label
_atom_site_fract_x
_atom_site_fract_y
_atom_site_fract_z
Sm1 0.248 0.729 0.981
Sm2 0.248 0.729 0.496
Sm3 0.259 0.278 0.519
Sm4 0.733 0.729 0.981
Sm5 0.267 0.271 0.019
Sm6 0.741 0.722 0.481
Sm7 0.752 0.271 0.504
Sm8 0.752 0.271 0.019
Ge1 0.500 0.500 0.000
Ge2 0.500 0.500 0.500
Ge3 0.000 0.500 0.500
Te1 0.500 0.000 0.000
Te2 0.500 0.000 0.500
Te3 0.000 0.000 0.000
Te4 0.000 0.000 0.500
Pb1 0.000 0.500 0.000

***

# 3
# V2CrSn2 PBE optimized geometry
# Energy   -6.809 eV per atom
# Energy of formation   364 meV per atom
# Polymorph energy (0 for the lowest one)   0.000 eV/f.u.
data_V2CrSn2
_symmetry_space_group_name_H-M 'P 1'
_symmetry_Int_Tables_number 1
_cell_length_a 6.359
_cell_length_b 6.359
_cell_length_c 4.308
_cell_angle_alpha 90.00
_cell_angle_beta 90.00
_cell_angle_gamma 90.00
loop_
_symmetry_equiv_pos_as_xyz
'x,y,z'
loop_
_atom_site_label
_atom_site_fract_x
_atom_site_fract_y
_atom_site_fract_z
Cr1 0.000 0.000 0.000
Cr2 0.500 0.500 0.000
Sn1 0.172 0.672 0.500
Sn2 0.672 0.828 0.500
Sn3 0.828 0.328 0.500
Sn4 0.328 0.172 0.500
V1 0.359 0.859 0.000
V2 0.859 0.641 0.000
V3 0.641 0.141 0.000
V4 0.141 0.359 0.000

***

# 4
# Tm4Cu2Sn PBE optimized geometry
# Energy   -4.476 eV per atom
# Energy of formation   -179 meV per atom
data_Tm4Cu2Sn
_symmetry_space_group_name_H-M 'P 1'
_symmetry_Int_Tables_number 1
_cell_length_a 7.827
_cell_length_b 7.827
_cell_length_c 7.871
_cell_angle_alpha 107.63
_cell_angle_beta 107.63
_cell_angle_gamma 113.00
loop_
_symmetry_equiv_pos_as_xyz
'x,y,z'
loop_
_atom_site_label
_atom_site_fract_x
_atom_site_fract_y
_atom_site_fract_z
Tm1 0.925 0.246 0.324
Tm2 0.325 0.504 0.176
Tm3 0.922 0.602 0.676
Tm4 0.754 0.075 0.676
Tm5 0.398 0.078 0.324
Tm6 0.328 0.148 0.824
Tm7 0.496 0.675 0.824
Tm8 0.852 0.672 0.176
Cu1 0.625 0.375 0.750
Cu2 0.625 0.875 0.250
Cu3 0.625 0.375 0.250
Cu4 0.125 0.375 0.750
Sn1 0.250 0.750 0.500
Sn2 0.000 0.000 0.000

***

# 5
# As3Os2 PBE optimized geometry
# Energy   -7.269 eV per atom
# Energy of formation   12 meV per atom
data_As3Os2
_symmetry_space_group_name_H-M 'P 1'
_symmetry_Int_Tables_number 1
_cell_length_a 5.881
_cell_length_b 6.320
_cell_length_c 6.452
_cell_angle_alpha 63.71
_cell_angle_beta 62.89
_cell_angle_gamma 62.27
loop_
_symmetry_equiv_pos_as_xyz
'x,y,z'
loop_
_atom_site_label
_atom_site_fract_x
_atom_site_fract_y
_atom_site_fract_z
As1 0.230 0.575 0.798
As2 0.603 0.925 0.702
As3 0.908 0.250 0.750
As4 0.092 0.750 0.250
As5 0.397 0.075 0.298
As6 0.770 0.425 0.202
Os1 0.797 0.864 0.992
Os2 0.652 0.636 0.508
Os3 0.348 0.364 0.492
Os4 0.203 0.136 0.008

***

# 6
# Rb5ZnBr8 PBE optimized geometry
# Energy   -2.731 eV per atom
# Formation energy from raw total energies   -1.34 eV per atom
data_Rb5ZnBr8
_symmetry_space_group_name_H-M 'P 1'
_symmetry_Int_Tables_number 1
_cell_length_a 9.278
_cell_length_b 9.278
_cell_length_c 9.278
_cell_angle_alpha 114.63
_cell_angle_beta 99.58
_cell_angle_gamma 114.63
loop_
_symmetry_equiv_pos_as_xyz
'x,y,z'
loop_
_atom_site_label
_atom_site_fract_x
_atom_site_fract_y
_atom_site_fract_z
Rb1 0.020 0.410 0.156
Rb2 0.844 0.864 0.254
Rb3 0.746 0.590 0.610
Rb4 0.500 0.000 0.500
Rb5 0.390 0.136 0.980
Zn1 0.250 0.500 0.750
Br1 0.123 0.677 0.888
Br2 0.112 0.235 0.789
Br3 0.705 0.195 0.300
Br4 0.700 0.405 0.896
Br5 0.490 0.595 0.295
Br6 0.554 0.765 0.877
Br7 0.211 0.323 0.446
Br8 0.104 0.805 0.510

***

# 7
# Cu3SiPd PBE optimized geometry
# Energy   -4.125 eV per atom
# Formation energy from raw total energies   0.46 eV per atom
# Polymorph energy (0 for the lowest one)   1.521 eV/f.u.
data_Cu3SiPd
_symmetry_space_group_name_H-M 'P 1'
_symmetry_Int_Tables_number 1
_cell_length_a 4.322
_cell_length_b 4.322
_cell_length_c 4.322
_cell_angle_alpha 90.00
_cell_angle_beta 90.00
_cell_angle_gamma 90.00
loop_
_symmetry_equiv_pos_as_xyz
'x,y,z'
loop_
_atom_site_label
_atom_site_fract_x
_atom_site_fract_y
_atom_site_fract_z
Si1 0.000 0.000 0.000
Cu1 0.000 0.500 0.000
Cu2 0.000 0.000 0.500
Cu3 0.500 0.000 0.000
Pd1 0.500 0.500 0.500

***

# 8
# Cd2HgAs2 PBE optimized geometry
# Energy   -2.113 eV per atom
# Energy of formation   174 meV per atom
# Polymorph energy (0 for the lowest one)   0.828 eV/f.u.
data_Cd2HgAs2
_symmetry_space_group_name_H-M 'P 1'
_symmetry_Int_Tables_number 1
_cell_length_a 8.601
_cell_length_b 8.601
_cell_length_c 3.113
_cell_angle_alpha 90.00
_cell_angle_beta 90.00
_cell_angle_gamma 90.00
loop_
_symmetry_equiv_pos_as_xyz
'x,y,z'
loop_
_atom_site_label
_atom_site_fract_x
_atom_site_fract_y
_atom_site_fract_z
As1 0.144 0.644 0.500
As2 0.644 0.856 0.500
As3 0.856 0.356 0.500
As4 0.356 0.144 0.500
Hg1 0.000 0.000 0.000
Hg2 0.500 0.500 0.000
Cd1 0.349 0.849 0.000
Cd2 0.849 0.651 0.000
Cd3 0.651 0.151 0.000
Cd4 0.151 0.349 0.000

***

# 9
# Pu5ThP6 PBE optimized geometry
# Energy   -10.490 eV per atom
# Energy of formation   -1195 meV per atom
data_Pu5ThP6
_symmetry_space_group_name_H-M 'P 1'
_symmetry_Int_Tables_number 1
_cell_length_a 6.990
_cell_length_b 6.990
_cell_length_c 6.931
_cell_angle_alpha 99.68
_cell_angle_beta 99.68
_cell_angle_gamma 119.99
loop_
_symmetry_equiv_pos_as_xyz
'x,y,z'
loop_
_atom_site_label
_atom_site_fract_x
_atom_site_fract_y
_atom_site_fract_z
P1 0.425 0.085 0.255
P2 0.915 0.575 0.745
P3 0.255 0.255 0.746
P4 0.745 0.745 0.254
P5 0.085 0.425 0.255
P6 0.575 0.915 0.745
Th1 0.000 0.000 0.000
Pu1 0.835 0.165 0.500
Pu2 0.667 0.333 0.000
Pu3 0.500 0.500 0.500
Pu4 0.333 0.667 0.000
Pu5 0.165 0.835 0.500

***

# 10
# Zr2HgRu PBE optimized geometry
# Energy   -6.902 eV per atom
# Energy of formation   -233 meV per atom
data_Zr2HgRu
_symmetry_space_group_name_H-M 'P 1'
_symmetry_Int_Tables_number 1
_cell_length_a 4.846
_cell_length_b 4.846
_cell_length_c 3.355
_cell_angle_alpha 89.99
_cell_angle_beta 89.99
_cell_angle_gamma 89.97
loop_
_symmetry_equiv_pos_as_xyz
'x,y,z'
loop_
_atom_site_label
_atom_site_fract_x
_atom_site_fract_y
_atom_site_fract_z
Hg1 0.500 0.000 0.500
Ru1 0.000 0.500 0.500
Zr1 0.000 0.000 0.000
Zr2 0.500 0.500 0.000

***

# 11
# MgAg5Au6 PBE optimized geometry
# Energy   -3.111 eV per atom
# Energy of formation   -151 meV per atom
# Polymorph energy (0 for the lowest one)   0.000 eV/f.u.
data_MgAg5Au6
_symmetry_space_group_name_H-M 'P 1'
_symmetry_Int_Tables_number 1
_cell_length_a 4.175
_cell_length_b 8.281
_cell_length_c 6.544
_cell_angle_alpha 90.00
_cell_angle_beta 71.40
_cell_angle_gamma 90.00
loop_
_symmetry_equiv_pos_as_xyz
'x,y,z'
loop_
_atom_site_label
_atom_site_fract_x
_atom_site_fract_y
_atom_site_fract_z
Mg1 0.000 0.000 0.000
Au1 0.835 0.751 0.331
Au2 0.835 0.249 0.331
Au3 0.500 0.244 0.000
Au4 0.500 0.756 0.000
Au5 0.165 0.751 0.669
Au6 0.165 0.249 0.669
Ag1 0.666 0.500 0.668
Ag2 0.333 0.000 0.334
Ag3 0.000 0.500 0.000
Ag4 0.667 0.000 0.666
Ag5 0.334 0.500 0.332

***

# 12
# ZrIrW2 PBE optimized geometry
# Energy   -10.341 eV per atom
# Energy of formation   488 meV per atom
# Polymorph energy (0 for the lowest one)   2.466 eV/f.u.
data_ZrIrW2
_symmetry_space_group_name_H-M 'P 1'
_symmetry_Int_Tables_number 1
_cell_length_a 7.594
_cell_length_b 7.594
_cell_length_c 5.974
_cell_angle_alpha 50.54
_cell_angle_beta 50.54
_cell_angle_gamma 90.00
loop_
_symmetry_equiv_pos_as_xyz
'x,y,z'
loop_
_atom_site_label
_atom_site_fract_x
_atom_site_fract_y
_atom_site_fract_z
Ir1 0.000 0.000 0.000
Ir2 0.750 0.250 0.500
Zr1 0.500 0.500 0.000
Zr2 0.250 0.750 0.500
W1 0.661 0.125 0.250
W2 0.089 0.625 0.250
W3 0.375 0.339 0.750
W4 0.875 0.911 0.750